(1)
# PBE Zn8CuAu3, optimized geometry
data_Zn8CuAu3
_chemical_formula_sum 'Zn32 Cu4 Au12'
_cell_length_a 6.275
_cell_length_b 8.817
_cell_length_c 14.540
_cell_angle_alpha 90.00
_cell_angle_beta 90.00
_cell_angle_gamma 90.00
_space_group_name_H-M_alt 'F m m m'
_space_group_IT_number 69
_space_group_name_Hall '-F 2 2'
loop_
_atom_site_label
_atom_site_type_symbol
_atom_site_fract_x
_atom_site_fract_y
_atom_site_fract_z
Zn1 Zn 0.000 0.244 0.095
Zn2 Zn 0.238 0.000 0.148
Cu1 Cu 0.000 0.000 0.000
Au1 Au 0.000 0.000 0.500
Au2 Au 0.250 0.250 0.250
# Magnetic moment = 0.00 μB/cell
# DOS(E_F) = 0.25 states/eV/atom
# Final energy = -25.50 eV per formula unit
# Calculated formation energy = -0.12 eV per atom

***

(2)
# PBE Zn2Cu3Au, optimized geometry
data_Zn2Cu3Au
_chemical_formula_sum 'Zn8 Cu12 Au4'
_cell_length_a 6.921
_cell_length_b 7.434
_cell_length_c 6.641
_cell_angle_alpha 90.00
_cell_angle_beta 99.87
_cell_angle_gamma 90.00
_space_group_name_H-M_alt 'C 1 2/c 1'
_space_group_IT_number 15
_space_group_name_Hall '-C 2yc'
loop_
_atom_site_label
_atom_site_type_symbol
_atom_site_fract_x
_atom_site_fract_y
_atom_site_fract_z
Zn1 Zn 0.126 0.240 0.127
Cu1 Cu 0.000 0.081 0.750
Cu2 Cu 0.228 0.087 0.498
Au1 Au 0.000 0.426 0.750
# Magnetic moment = 0.00 μB/cell
# DOS(E_F) = 0.29 states/eV/atom
# Final energy = -18.34 eV per formula unit
# Calculated formation energy = -0.04 eV per atom